Density functional theory data (PBE-GGA) for a relaxed structure of ScCoOs.

Summary:
- uncorrected energy (eV per atom) = -7.974
- DOS(E_F) (states/eV/cell) = 3.97
- SG = P3m1 (156)

a = 2.842 Å, b = 2.842 Å, c = 6.442 Å
α = 90.00°, β = 90.00°, γ = 120.00°
Last column: magnetic moment on the atom in μB.
Fractional coordinates of all 3 atoms:
Co: 0.000 0.000 0.009  0.95
Os: 0.333 0.667 0.314  0.06
Sc: 0.667 0.333 0.677  -0.12



Density functional theory data (PBE-GGA) for a relaxed structure of Sc2CoOs.

Summary:
- uncorrected energy (eV per atom) = -7.982
- DOS(E_F) (states/eV/cell) = 2.07
- SG = Imm2 (44)

a = 5.438 Å, b = 5.438 Å, c = 4.413 Å
α = 66.07°, β = 66.07°, γ = 33.96°
Last column: magnetic moment on the atom in μB.
Fractional coordinates of all 4 atoms:
Co: 0.516 0.516 0.484  1.21
Os: 0.233 0.233 0.267  0.30
Sc: 0.985 0.985 0.015  -0.13
Sc: 0.766 0.766 0.734  -0.09



Density functional theory data (PBE-GGA) for a relaxed structure of ScCo2Os.

Summary:
- uncorrected energy (eV per atom) = -7.964
- DOS(E_F) (states/eV/cell) = 4.28
- SG = Cm (8)

a = 4.959 Å, b = 4.959 Å, c = 4.487 Å
α = 68.32°, β = 68.32°, γ = 32.07°
Last column: magnetic moment on the atom in μB.
Fractional coordinates of all 4 atoms:
Co: 0.018 0.018 0.049  1.09
Co: 0.743 0.743 0.680  0.74
Os: 0.482 0.482 0.581  0.12
Sc: 0.257 0.257 0.190  -0.10



Density functional theory data (PBE-GGA) for a relaxed structure of Sc6Co2Os.

Summary:
- uncorrected energy (eV per atom) = -7.352
- DOS(E_F) (states/eV/cell) = 19.16
- SG = Immm (71)

a = 7.595 Å, b = 7.595 Å, c = 7.595 Å
α = 108.23°, β = 110.32°, γ = 109.87°
Fractional coordinates of all 18 atoms:
Sc: 0.441 0.262 0.179
Sc: 0.559 0.738 0.821
Sc: 0.917 0.738 0.179
Sc: 0.083 0.262 0.821
Sc: 0.190 0.743 0.933
Sc: 0.810 0.257 0.067
Sc: 0.810 0.743 0.552
Sc: 0.190 0.257 0.448
Sc: 0.301 0.974 0.673
Sc: 0.699 0.026 0.327
Sc: 0.699 0.372 0.673
Sc: 0.301 0.628 0.327
Co: 0.500 0.379 0.879
Co: 0.500 0.621 0.121
Co: 0.350 0.000 0.350
Co: 0.650 0.000 0.650
Os: 0.000 0.500 0.500
Os: 0.000 0.000 0.000



Density functional theory data (PBE-GGA) for a relaxed structure of ScCoOs.

Summary:
- uncorrected energy (eV per atom) = -8.010
- DOS(E_F) (states/eV/cell) = 3.38
- SG = F-43m (216)

a = 4.146 Å, b = 4.146 Å, c = 4.146 Å
α = 60.00°, β = 60.00°, γ = 60.00°
Last column: magnetic moment on the atom in μB.
Fractional coordinates of all 3 atoms:
Co: 0.750 0.750 0.750  1.26
Os: 0.000 0.000 0.000  0.83
Sc: 0.500 0.500 0.500  -0.04



Density functional theory data (PBE-GGA) for a relaxed structure of ScCo2Os2.

Summary:
- uncorrected energy (eV per atom) = -8.484
- DOS(E_F) (states/eV/cell) = 6.30
- SG = I4/mmm (139)

a = 3.891 Å, b = 3.891 Å, c = 5.864 Å
α = 70.62°, β = 70.62°, γ = 90.00°
Last column: magnetic moment on the atom in μB.
Fractional coordinates of all 5 atoms:
Sc: 0.000 0.000 0.000  0.01
Co: 0.750 0.250 0.500  0.87
Co: 0.250 0.750 0.500  0.87
Os: 0.388 0.388 0.225  0.12
Os: 0.612 0.612 0.775  0.12



Density functional theory data (PBE-GGA) for a relaxed structure of Sc2CoOs.

Summary:
- uncorrected energy (eV per atom) = -7.751
- DOS(E_F) (states/eV/cell) = 4.12
- SG = Pmm2 (25)

a = 2.898 Å, b = 4.283 Å, c = 5.365 Å
α = 90.00°, β = 90.00°, γ = 90.00°
Last column: magnetic moment on the atom in μB.
Fractional coordinates of all 4 atoms:
Co: 0.000 0.000 0.471  0.07
Os: 0.500 0.500 0.780  0.01
Sc: 0.000 0.000 0.954  -0.01
Sc: 0.500 0.500 0.295  -0.01



Density functional theory data (PBE-GGA) for a relaxed structure of ScCo2Os.

Summary:
- uncorrected energy (eV per atom) = -7.912
- DOS(E_F) (states/eV/cell) = 4.30
- SG = Pmmm (47)

a = 3.131 Å, b = 4.274 Å, c = 4.163 Å
α = 90.00°, β = 90.00°, γ = 90.00°
Last column: magnetic moment on the atom in μB.
Fractional coordinates of all 4 atoms:
Co: 0.000 0.000 0.000  1.75
Co: 0.500 0.500 0.000  1.37
Os: 0.500 0.000 0.500  0.48
Sc: 0.000 0.500 0.500  -0.15



> Among the records above, which one has the highest uncorrected energy?

Sc6Co2Os



> Look up the uncorrected energy of the fourth one.

-7.352 eV per atom



> Look up the DOS(E_F) of the first one.

3.97 states/eV/cell



> DOS(E_F) of number 1 (ScCoOs)?

3.97 states/eV/cell